(1)
# TcRu2Cl | the Alexandria database | GGA-PBE | relaxed
# Formation energy without anion corrections   0.829 eV/atom
# E above lowest polymorph   504 meV/atom
# Magnetization   0.00 Bohr magnetons per cell
# Fermi-level density of states   6.424 states/eV/f.u.
data_TcRu2Cl
_chemical_formula_sum 'Tc1 Ru2 Cl1'
_space_group_name_H-M_alt 'P m m m'
_space_group_IT_number 47
_space_group_name_Hall '-P 2 2'
_cell_length_a 2.8215
_cell_length_b 4.5112
_cell_length_c 4.5712
_cell_angle_alpha 90.00
_cell_angle_beta 90.00
_cell_angle_gamma 90.00
loop_
_atom_site_label
_atom_site_fract_x
_atom_site_fract_y
_atom_site_fract_z
_atom_site_occupancy
Tc1 0.0000 0.0000 0.0000 1
Ru1 0.0000 0.5000 0.5000 1
Ru2 0.5000 0.5000 0.0000 1
Cl1 0.5000 0.0000 0.5000 1

***

(2)
# PmCoSn2 | the Alexandria database | GGA-PBE | relaxed
# E above lowest polymorph   0 meV/atom
# Magnetization   0.00 Bohr magnetons per cell
# ΔE_f   -184 kJ/mol of formula units
# Fermi-level density of states   2.653 states/eV/f.u.
data_PmCoSn2
_chemical_formula_sum 'Pm8 Co8 Sn16'
_space_group_name_H-M_alt 'I m m m'
_space_group_IT_number 71
_space_group_name_Hall '-I 2 2'
_cell_length_a 4.5047
_cell_length_b 9.4334
_cell_length_c 16.9390
_cell_angle_alpha 90.00
_cell_angle_beta 90.00
_cell_angle_gamma 90.00
loop_
_atom_site_label
_atom_site_fract_x
_atom_site_fract_y
_atom_site_fract_z
_atom_site_occupancy
Pm1 0.0000 0.0000 0.2096 1
Pm2 0.0000 0.2332 0.0000 1
Co1 0.0000 0.2514 0.3537 1
Sn1 0.0000 0.0000 0.4138 1
Sn2 0.0000 0.3341 0.1965 1
Sn3 0.0000 0.5000 0.4169 1

***

(3)
# KSnN2 | the Alexandria database | GGA-PBE | relaxed
# Formation energy without anion corrections   0.445 eV/atom
# Magnetization   4.00 Bohr magnetons per cell
# Fermi-level density of states   4.173 states/eV/f.u.
data_KSnN2
_chemical_formula_sum 'K4 Sn4 N8'
_space_group_name_H-M_alt 'I -4 2 d'
_space_group_IT_number 122
_space_group_name_Hall 'I -4 2bw'
_cell_length_a 6.1298
_cell_length_b 6.1298
_cell_length_c 8.3904
_cell_angle_alpha 90.00
_cell_angle_beta 90.00
_cell_angle_gamma 90.00
loop_
_atom_site_label
_atom_site_fract_x
_atom_site_fract_y
_atom_site_fract_z
_atom_site_occupancy
K1 0.0000 0.0000 0.0000 1
Sn1 0.0000 0.0000 0.5000 1
N1 0.1521 0.2500 0.6250 1

***

(4)
# TlSiP2S | the Alexandria database | GGA-PBE | relaxed
# Formation energy without anion corrections   0.428 eV/atom
# E above lowest polymorph   0 meV/atom
# Magnetization   0.03 Bohr magnetons per cell
# Fermi-level density of states   3.839 states/eV/f.u.
data_TlSiP2S
_chemical_formula_sum 'Tl1 Si1 P2 S1'
_space_group_name_H-M_alt 'P 4/m m m'
_space_group_IT_number 123
_space_group_name_Hall '-P 4 2'
_cell_length_a 4.6387
_cell_length_b 4.6387
_cell_length_c 4.7056
_cell_angle_alpha 90.00
_cell_angle_beta 90.00
_cell_angle_gamma 90.00
loop_
_atom_site_label
_atom_site_fract_x
_atom_site_fract_y
_atom_site_fract_z
_atom_site_occupancy
Tl1 0.0000 0.0000 0.0000 1
Si1 0.5000 0.5000 0.5000 1
P1 0.0000 0.5000 0.5000 1
S1 0.5000 0.5000 0.0000 1